*P*
This record from the Alexandria database describes a geometry-optimized Sc4HgAu structure. The functional is GGA-PBE.

```
data_Sc4HgAu
_chemical_formula_sum 'Sc4 Hg1 Au1'
_cell_length_a 5.720
_cell_length_b 5.720
_cell_length_c 5.720
_cell_angle_alpha 60.00
_cell_angle_beta 60.00
_cell_angle_gamma 60.00
_symmetry_space_group_name_H-M 'P 1'
_symmetry_Int_Tables_number 1
loop_
_symmetry_equiv_pos_as_xyz
'x,y,z'
loop_
_atom_site_label
_atom_site_fract_x
_atom_site_fract_y
_atom_site_fract_z
Hg1 0.000 0.000 0.000
Sc1 0.875 0.375 0.375
Sc2 0.375 0.375 0.375
Au1 0.750 0.750 0.750
Sc3 0.375 0.875 0.375
Sc4 0.375 0.375 0.875
```



*Q*
This record from the Alexandria database describes a geometry-optimized Sc4HgAu structure. The functional is GGA-PBE.

```
data_Sc4HgAu
_chemical_formula_sum 'Sc4 Hg1 Au1'
_cell_length_a 4.708
_cell_length_b 4.708
_cell_length_c 6.736
_cell_angle_alpha 89.99
_cell_angle_beta 89.99
_cell_angle_gamma 90.00
_symmetry_space_group_name_H-M 'P 1'
_symmetry_Int_Tables_number 1
loop_
_symmetry_equiv_pos_as_xyz
'x,y,z'
loop_
_atom_site_label
_atom_site_fract_x
_atom_site_fract_y
_atom_site_fract_z
Sc1 0.001 0.497 0.257
Hg1 0.501 0.497 0.998
Sc2 0.501 0.997 0.257
Au1 0.001 0.997 0.498
Sc3 0.501 0.997 0.739
Sc4 0.001 0.497 0.739
```



Relative energy table, unit meV/atom: *P* 385; *Q* 0



*P*
This record from the Alexandria database describes a geometry-optimized TbScHgAu structure. The functional is GGA-PBE.

```
data_TbScHgAu
_chemical_formula_sum 'Tb1 Sc1 Hg1 Au1'
_cell_length_a 5.059
_cell_length_b 5.059
_cell_length_c 5.059
_cell_angle_alpha 60.00
_cell_angle_beta 60.00
_cell_angle_gamma 60.00
_symmetry_space_group_name_H-M 'P 1'
_symmetry_Int_Tables_number 1
loop_
_symmetry_equiv_pos_as_xyz
'x,y,z'
loop_
_atom_site_label
_atom_site_fract_x
_atom_site_fract_y
_atom_site_fract_z
Sc1 0.250 0.250 0.250
Tb1 0.750 0.750 0.750
Hg1 0.500 0.500 0.500
Au1 0.000 0.000 0.000
```



*Q*
This record from the Alexandria database describes a geometry-optimized TbScHgAu structure. The functional is GGA-PBE.

```
data_TbScHgAu
_chemical_formula_sum 'Tb1 Sc1 Hg1 Au1'
_cell_length_a 3.574
_cell_length_b 3.574
_cell_length_c 7.124
_cell_angle_alpha 90.00
_cell_angle_beta 90.00
_cell_angle_gamma 90.00
_symmetry_space_group_name_H-M 'P 1'
_symmetry_Int_Tables_number 1
loop_
_symmetry_equiv_pos_as_xyz
'x,y,z'
loop_
_atom_site_label
_atom_site_fract_x
_atom_site_fract_y
_atom_site_fract_z
Hg1 0.000 0.000 0.879
Au1 0.000 0.000 0.333
Sc1 0.500 0.500 0.119
Tb1 0.500 0.500 0.596
```



Relative energy table, unit meV/atom: *P* 19; *Q* 0



*P*
This record from the Alexandria database describes a geometry-optimized Hg3AuSe structure. The functional is GGA-PBE.

```
data_Hg3AuSe
_chemical_formula_sum 'Hg3 Au1 Se1'
_cell_length_a 5.336
_cell_length_b 5.336
_cell_length_c 5.336
_cell_angle_alpha 90.00
_cell_angle_beta 90.00
_cell_angle_gamma 90.00
_symmetry_space_group_name_H-M 'P 1'
_symmetry_Int_Tables_number 1
loop_
_symmetry_equiv_pos_as_xyz
'x,y,z'
loop_
_atom_site_label
_atom_site_fract_x
_atom_site_fract_y
_atom_site_fract_z
Se1 0.500 0.500 0.500
Hg1 0.000 0.500 0.000
Au1 0.000 0.000 0.000
Hg2 0.000 0.000 0.500
Hg3 0.500 0.000 0.000
```



*Q*
This record from the Alexandria database describes a geometry-optimized Hg3AuSe structure. The functional is GGA-PBE.

```
data_Hg3AuSe
_chemical_formula_sum 'Hg6 Au2 Se2'
_cell_length_a 5.489
_cell_length_b 8.667
_cell_length_c 8.313
_cell_angle_alpha 122.19
_cell_angle_beta 71.33
_cell_angle_gamma 104.66
_symmetry_space_group_name_H-M 'P 1'
_symmetry_Int_Tables_number 1
loop_
_symmetry_equiv_pos_as_xyz
'x,y,z'
loop_
_atom_site_label
_atom_site_fract_x
_atom_site_fract_y
_atom_site_fract_z
Se1 0.509 0.663 0.276
Hg1 0.274 0.337 0.148
Hg2 0.093 0.899 0.284
Hg3 0.907 0.101 0.716
Hg4 0.726 0.663 0.852
Au1 0.500 0.000 0.000
Hg5 0.678 0.188 0.355
Au2 0.000 0.000 0.000
Hg6 0.322 0.812 0.645
Se2 0.491 0.337 0.724
```



Relative energy table, unit meV/atom: *P* 322; *Q* 0



*P*
This record from the Alexandria database describes a geometry-optimized SiHgAu structure. The functional is GGA-PBE.

```
data_SiHgAu
_chemical_formula_sum 'Si1 Hg1 Au1'
_cell_length_a 3.591
_cell_length_b 3.591
_cell_length_c 5.548
_cell_angle_alpha 90.00
_cell_angle_beta 90.00
_cell_angle_gamma 120.00
_symmetry_space_group_name_H-M 'P 1'
_symmetry_Int_Tables_number 1
loop_
_symmetry_equiv_pos_as_xyz
'x,y,z'
loop_
_atom_site_label
_atom_site_fract_x
_atom_site_fract_y
_atom_site_fract_z
Hg1 0.333 0.667 0.344
Au1 0.000 0.000 0.954
Si1 0.667 0.333 0.702
```



*Q*
This record from the Alexandria database describes a geometry-optimized SiHgAu structure. The functional is GGA-PBE.

```
data_SiHgAu
_chemical_formula_sum 'Si1 Hg1 Au1'
_cell_length_a 4.264
_cell_length_b 4.264
_cell_length_c 4.008
_cell_angle_alpha 90.00
_cell_angle_beta 90.00
_cell_angle_gamma 120.00
_symmetry_space_group_name_H-M 'P 1'
_symmetry_Int_Tables_number 1
loop_
_symmetry_equiv_pos_as_xyz
'x,y,z'
loop_
_atom_site_label
_atom_site_fract_x
_atom_site_fract_y
_atom_site_fract_z
Si1 0.333 0.667 0.834
Hg1 0.667 0.333 0.333
Au1 0.000 0.000 0.832
```



Relative energy table, unit meV/atom: *P* 0; *Q* 93



*P*
This record from the Alexandria database describes a geometry-optimized SiHgAu structure. The functional is GGA-PBE.

```
data_SiHgAu
_chemical_formula_sum 'Si1 Hg1 Au1'
_cell_length_a 6.404
_cell_length_b 6.404
_cell_length_c 6.404
_cell_angle_alpha 154.47
_cell_angle_beta 147.00
_cell_angle_gamma 42.18
_symmetry_space_group_name_H-M 'P 1'
_symmetry_Int_Tables_number 1
loop_
_symmetry_equiv_pos_as_xyz
'x,y,z'
loop_
_atom_site_label
_atom_site_fract_x
_atom_site_fract_y
_atom_site_fract_z
Hg1 0.668 0.668 0.000
Au1 0.973 0.973 0.000
Si1 0.360 0.360 0.000
```



*Q*
This record from the Alexandria database describes a geometry-optimized SiHgAu structure. The functional is GGA-PBE.

```
data_SiHgAu
_chemical_formula_sum 'Si1 Hg1 Au1'
_cell_length_a 4.450
_cell_length_b 4.450
_cell_length_c 4.450
_cell_angle_alpha 60.00
_cell_angle_beta 60.00
_cell_angle_gamma 60.00
_symmetry_space_group_name_H-M 'P 1'
_symmetry_Int_Tables_number 1
loop_
_symmetry_equiv_pos_as_xyz
'x,y,z'
loop_
_atom_site_label
_atom_site_fract_x
_atom_site_fract_y
_atom_site_fract_z
Hg1 0.500 0.500 0.500
Au1 0.000 0.000 0.000
Si1 0.750 0.750 0.750
```



*R*
This record from the Alexandria database describes a geometry-optimized SiHgAu structure. The functional is GGA-PBE.

```
data_SiHgAu
_chemical_formula_sum 'Si2 Hg2 Au2'
_cell_length_a 4.430
_cell_length_b 4.625
_cell_length_c 7.283
_cell_angle_alpha 71.49
_cell_angle_beta 90.00
_cell_angle_gamma 90.00
_symmetry_space_group_name_H-M 'P 1'
_symmetry_Int_Tables_number 1
loop_
_symmetry_equiv_pos_as_xyz
'x,y,z'
loop_
_atom_site_label
_atom_site_fract_x
_atom_site_fract_y
_atom_site_fract_z
Hg1 0.250 0.286 0.428
Si1 0.250 0.611 0.779
Si2 0.750 0.389 0.221
Au1 0.750 0.937 0.126
Hg2 0.750 0.714 0.572
Au2 0.250 0.063 0.874
```



Relative energy table, unit meV/atom: *P* 45; *Q* 0; *R* 64



*P*
This record from the Alexandria database describes a geometry-optimized SiHg3Au structure. The functional is GGA-PBE.

```
data_SiHg3Au
_chemical_formula_sum 'Si1 Hg3 Au1'
_cell_length_a 5.131
_cell_length_b 5.131
_cell_length_c 5.131
_cell_angle_alpha 90.00
_cell_angle_beta 90.00
_cell_angle_gamma 90.00
_symmetry_space_group_name_H-M 'P 1'
_symmetry_Int_Tables_number 1
loop_
_symmetry_equiv_pos_as_xyz
'x,y,z'
loop_
_atom_site_label
_atom_site_fract_x
_atom_site_fract_y
_atom_site_fract_z
Hg1 0.500 0.000 0.000
Hg2 0.000 0.500 0.000
Si1 0.000 0.000 0.000
Au1 0.500 0.500 0.500
Hg3 0.000 0.000 0.500
```



*Q*
This record from the Alexandria database describes a geometry-optimized SiHg3Au structure. The functional is GGA-PBE.

```
data_SiHg3Au
_chemical_formula_sum 'Si1 Hg3 Au1'
_cell_length_a 5.291
_cell_length_b 5.291
_cell_length_c 5.291
_cell_angle_alpha 90.00
_cell_angle_beta 90.00
_cell_angle_gamma 90.00
_symmetry_space_group_name_H-M 'P 1'
_symmetry_Int_Tables_number 1
loop_
_symmetry_equiv_pos_as_xyz
'x,y,z'
loop_
_atom_site_label
_atom_site_fract_x
_atom_site_fract_y
_atom_site_fract_z
Au1 0.000 0.000 0.000
Si1 0.500 0.500 0.500
Hg1 0.000 0.000 0.500
Hg2 0.500 0.000 0.000
Hg3 0.000 0.500 0.000
```



Relative energy table, unit meV/atom: *P* 0; *Q* 284